A plane-wave DFT calculation with PBE was carried out for CrIn2Br after structural relaxation. Values from VASP.

total magnetization	4.878	Bohr magnetons per cell
energy above the lowest structure with this stoichiometry	0.350	eV/atom
energy relative to the elements, uncorrected	395	meV/atom

The structure in Quantum ESPRESSO input format:
```
&SYSTEM
  ibrav = 0, nat = 4, ntyp = 3
/
ATOMIC_SPECIES
Cr 52.00 Cr.upf
Br 79.90 Br.upf
In 114.82 In.upf
ATOMIC_POSITIONS angstrom
Cr 0.000 0.000 0.000
Br 1.873 -3.990 4.848
In 0.936 -1.995 2.424
In 2.809 -5.985 7.271
CELL_PARAMETERS angstrom
3.387 -0.606 4.096
-1.593 -2.531 4.436
1.951 -4.843 1.163
```


A plane-wave DFT calculation with PBE was carried out for CrInBr2 after structural relaxation. Values from VASP.

total magnetization	4.773	Bohr magnetons per cell
energy above the lowest structure with this stoichiometry	0.104	eV/atom
energy relative to the elements, uncorrected	-216	meV/atom

The structure in Quantum ESPRESSO input format:
```
&SYSTEM
  ibrav = 0, nat = 4, ntyp = 3
/
ATOMIC_SPECIES
Br 79.90 Br.upf
Cr 52.00 Cr.upf
In 114.82 In.upf
ATOMIC_POSITIONS angstrom
Br 0.000 0.000 6.290
Br 1.913 1.913 3.194
Cr 0.000 0.000 3.658
In 1.913 1.913 8.124
CELL_PARAMETERS angstrom
3.826 0.000 0.000
0.000 3.825 0.000
0.000 0.000 8.506
```


A plane-wave DFT calculation with PBE was carried out for CrIn2Br after structural relaxation. Values from VASP.

total magnetization	3.787	Bohr magnetons per cell
energy above the lowest structure with this stoichiometry	0.010	eV/atom
energy relative to the elements, uncorrected	56	meV/atom

The structure in Quantum ESPRESSO input format:
```
&SYSTEM
  ibrav = 0, nat = 4, ntyp = 3
/
ATOMIC_SPECIES
Br 79.90 Br.upf
Cr 52.00 Cr.upf
In 114.82 In.upf
ATOMIC_POSITIONS angstrom
Br 3.578 -2.711 3.932
Cr 3.564 -5.102 4.646
In 5.553 -4.621 6.772
In 1.557 -2.465 0.629
CELL_PARAMETERS angstrom
-0.228 -2.817 -1.735
3.582 -0.113 -0.287
2.209 -4.720 7.373
```


A plane-wave DFT calculation with PBE was carried out for CrInBr2 after structural relaxation. Values from VASP.

total magnetization	4.293	Bohr magnetons per cell
energy above the lowest structure with this stoichiometry	0.000	eV/atom
energy relative to the elements, uncorrected	-319	meV/atom

The structure in Quantum ESPRESSO input format:
```
&SYSTEM
  ibrav = 0, nat = 4, ntyp = 3
/
ATOMIC_SPECIES
Br 79.90 Br.upf
Cr 52.00 Cr.upf
In 114.82 In.upf
ATOMIC_POSITIONS angstrom
Br 1.552 0.882 8.597
Br 3.031 1.722 5.330
Cr 5.267 2.993 6.813
In 1.756 0.998 2.271
CELL_PARAMETERS angstrom
3.873 0.111 -0.151
2.078 3.270 -0.151
1.072 0.609 9.386
```


A plane-wave DFT calculation with PBE was carried out for CrInBr2 after structural relaxation. Values from VASP.

total magnetization	5.000	Bohr magnetons per cell
energy above the lowest structure with this stoichiometry	0.262	eV/atom
energy relative to the elements, uncorrected	-57	meV/atom

The structure in Quantum ESPRESSO input format:
```
&SYSTEM
  ibrav = 0, nat = 4, ntyp = 3
/
ATOMIC_SPECIES
Br 79.90 Br.upf
Cr 52.00 Cr.upf
In 114.82 In.upf
ATOMIC_POSITIONS angstrom
Br 0.000 0.000 0.000
Br -3.032 1.688 -1.503
Cr 0.046 2.763 -1.746
In -1.843 2.252 1.489
CELL_PARAMETERS angstrom
-1.143 2.199 -4.738
-4.920 1.178 1.732
1.235 3.327 1.246
```


A plane-wave DFT calculation with PBE was carried out for Cr5In3Br12 after structural relaxation. Values from VASP.

total magnetization	84.000	Bohr magnetons per cell
energy relative to the elements, uncorrected	-539	meV/atom

The structure in Quantum ESPRESSO input format:
```
&SYSTEM
  ibrav = 0, nat = 80, ntyp = 3
/
ATOMIC_SPECIES
In 114.82 In.upf
Cr 52.00 Cr.upf
Br 79.90 Br.upf
ATOMIC_POSITIONS angstrom
In 8.649 4.368 1.513
In 8.649 9.610 1.513
In -1.236 6.116 7.566
In 1.236 -0.874 4.540
In 11.120 0.000 3.027
In 1.236 6.989 3.027
In 3.707 0.000 9.080
In -6.178 6.989 9.080
In 3.707 7.863 7.566
In 6.178 0.874 4.540
In -3.707 -2.621 10.593
In -3.707 2.621 10.593
Cr -1.236 3.495 3.027
Cr -2.471 6.989 0.000
Cr 0.000 0.000 0.000
Cr 3.707 2.621 1.513
Cr 4.942 -3.495 6.053
Cr 4.942 6.989 0.000
Cr -3.707 7.863 4.540
Cr 6.178 -4.368 10.593
Cr 6.178 6.116 4.540
Cr 1.236 -3.495 9.080
Cr 3.707 10.484 3.027
Cr 2.471 3.495 6.053
Cr 7.413 0.000 0.000
Cr -2.471 -3.495 6.053
Cr -1.236 0.874 7.566
Cr -1.236 11.358 1.513
Cr -4.942 3.495 6.053
Cr 8.649 -0.874 7.566
Cr 1.236 4.368 10.593
Cr 6.178 3.495 9.080
Br 9.639 1.443 0.196
Br 0.246 4.385 4.902
Br 11.147 3.285 3.722
Br 6.151 1.914 1.347
Br 1.853 4.954 8.189
Br 10.774 7.086 2.136
Br -1.262 8.360 5.069
Br -3.680 12.065 1.347
Br 0.618 9.025 8.189
Br 6.524 6.893 2.136
Br 7.659 4.047 4.706
Br 7.659 12.536 0.196
Br -4.324 6.074 6.249
Br 3.361 5.092 0.984
Br -5.188 9.932 4.706
Br 2.717 -2.604 7.205
Br -0.618 1.120 2.331
Br 3.361 8.791 1.152
Br 6.151 10.694 3.722
Br -0.890 5.188 1.152
Br -3.089 8.110 9.775
Br 3.733 5.619 5.069
Br 6.795 7.905 6.249
Br 5.832 -1.898 11.122
Br 1.209 1.371 7.037
Br -1.853 -0.916 5.857
Br -0.890 8.887 0.984
Br -1.209 -3.704 8.384
Br 8.032 -1.120 2.331
Br 5.832 1.801 10.955
Br 1.582 -1.801 10.955
Br 2.226 9.593 4.902
Br 5.561 5.869 9.775
Br 10.130 -2.943 7.400
Br 9.266 0.916 5.857
Br -2.717 -5.547 11.910
Br 1.582 1.898 11.122
Br 4.324 -2.036 3.917
Br -1.582 0.097 9.970
Br -2.717 2.943 7.400
Br 8.622 -5.075 10.759
Br 6.204 -1.371 7.037
Br -1.209 5.075 10.759
Br -5.832 -0.097 9.970
Br 3.089 2.036 3.917
Br -6.204 3.704 8.384
Br 4.697 2.604 7.205
Br -4.697 5.547 11.910
CELL_PARAMETERS angstrom
14.827 0.000 0.000
-4.942 13.979 0.000
-4.942 -6.989 12.106
```


A plane-wave DFT calculation with PBE was carried out for CrIn2Br after structural relaxation. Values from VASP.

total magnetization	3.666	Bohr magnetons per cell
energy above the lowest structure with this stoichiometry	0.000	eV/atom
energy relative to the elements, uncorrected	46	meV/atom

The structure in Quantum ESPRESSO input format:
```
&SYSTEM
  ibrav = 0, nat = 4, ntyp = 3
/
ATOMIC_SPECIES
Br 79.90 Br.upf
Cr 52.00 Cr.upf
In 114.82 In.upf
ATOMIC_POSITIONS angstrom
Br 13.900 2.218 1.302
Cr 22.068 3.522 2.068
In 0.428 0.068 0.040
In 7.637 1.219 0.716
CELL_PARAMETERS angstrom
10.151 -0.144 -0.085
9.602 3.297 -0.085
9.602 1.532 2.920
```


A plane-wave DFT calculation with PBE was carried out for CrInBr2 after structural relaxation. Values from VASP.

total magnetization	5.000	Bohr magnetons per cell
energy above the lowest structure with this stoichiometry	0.270	eV/atom
energy relative to the elements, uncorrected	-49	meV/atom

The structure in Quantum ESPRESSO input format:
```
&SYSTEM
  ibrav = 0, nat = 4, ntyp = 3
/
ATOMIC_SPECIES
Cr 52.00 Cr.upf
Br 79.90 Br.upf
In 114.82 In.upf
ATOMIC_POSITIONS angstrom
Cr 0.000 0.000 0.000
Br 1.884 1.884 1.884
Br 5.652 5.652 5.652
In 3.768 3.768 3.768
CELL_PARAMETERS angstrom
0.000 3.768 3.768
3.768 0.000 3.768
3.768 3.768 0.000
```


A plane-wave DFT calculation with PBE was carried out for CrIn2Br8 after structural relaxation. Values from VASP.

total magnetization	4.000	Bohr magnetons per cell
energy relative to the elements, uncorrected	-734	meV/atom

The structure in Quantum ESPRESSO input format:
```
&SYSTEM
  ibrav = 0, nat = 11, ntyp = 3
/
ATOMIC_SPECIES
Cr 52.00 Cr.upf
In 114.82 In.upf
Br 79.90 Br.upf
ATOMIC_POSITIONS angstrom
Cr 0.000 0.000 0.000
In 2.416 2.106 1.751
In 4.918 7.843 6.519
Br 5.823 1.961 5.932
Br 1.511 3.759 7.426
Br 4.932 1.918 1.594
Br 2.403 8.031 6.675
Br 5.823 6.190 0.843
Br 1.511 7.988 2.338
Br 1.629 3.916 3.255
Br 5.706 6.033 5.014
CELL_PARAMETERS angstrom
6.899 0.087 0.072
0.218 8.214 0.149
0.218 1.648 8.048
```


A plane-wave DFT calculation with PBE was carried out for CrIn2Br after structural relaxation. Values from VASP.

total magnetization	3.566	Bohr magnetons per cell
energy above the lowest structure with this stoichiometry	0.143	eV/atom
energy relative to the elements, uncorrected	189	meV/atom

The structure in Quantum ESPRESSO input format:
```
&SYSTEM
  ibrav = 0, nat = 4, ntyp = 3
/
ATOMIC_SPECIES
Br 79.90 Br.upf
Cr 52.00 Cr.upf
In 114.82 In.upf
ATOMIC_POSITIONS angstrom
Br -4.049 1.046 5.120
Cr -12.148 3.138 15.361
In -0.111 0.029 0.140
In -7.988 2.064 10.100
CELL_PARAMETERS angstrom
-4.097 2.770 7.575
-6.870 1.977 5.545
-5.230 -0.563 7.360
```


A plane-wave DFT calculation with PBE was carried out for CrIn2Br after structural relaxation. Values from VASP.

total magnetization	4.507	Bohr magnetons per cell
energy above the lowest structure with this stoichiometry	0.214	eV/atom
energy relative to the elements, uncorrected	259	meV/atom

The structure in Quantum ESPRESSO input format:
```
&SYSTEM
  ibrav = 0, nat = 4, ntyp = 3
/
ATOMIC_SPECIES
Br 79.90 Br.upf
Cr 52.00 Cr.upf
In 114.82 In.upf
ATOMIC_POSITIONS angstrom
Br 1.704 0.000 2.873
Cr 0.000 2.550 2.873
In 0.000 0.000 0.000
In 1.704 2.550 0.000
CELL_PARAMETERS angstrom
3.407 0.000 0.000
0.000 5.100 0.000
0.000 0.000 5.747
```


A plane-wave DFT calculation with PBE was carried out for CrIn3Br after structural relaxation. Values from VASP.

total magnetization	3.997	Bohr magnetons per cell
energy above the lowest structure with this stoichiometry	0.000	eV/atom
energy relative to the elements, uncorrected	188	meV/atom

The structure in Quantum ESPRESSO input format:
```
&SYSTEM
  ibrav = 0, nat = 5, ntyp = 3
/
ATOMIC_SPECIES
Cr 52.00 Cr.upf
Br 79.90 Br.upf
In 114.82 In.upf
ATOMIC_POSITIONS angstrom
Cr 0.000 0.000 0.000
Br 2.674 2.674 2.674
In 0.000 2.674 0.000
In 0.000 0.000 2.674
In 2.674 0.000 0.000
CELL_PARAMETERS angstrom
5.348 0.000 0.000
0.000 5.348 0.000
0.000 0.000 5.348
```


Number 1: electronic total energy -3.80 eV/atom. Number 2: electronic total energy -4.14 eV/atom. Number 3: electronic total energy -4.14 eV/atom. Number 4: electronic total energy -4.25 eV/atom. Number 5: electronic total energy -3.98 eV/atom. Number 6: electronic total energy -4.36 eV/atom. Number 7: electronic total energy -4.15 eV/atom. Number 8: electronic total energy -3.98 eV/atom. Number 9: electronic total energy -3.32 eV/atom. Number 10: electronic total energy -4.00 eV/atom. Number 11: electronic total energy -3.93 eV/atom. Number 12: electronic total energy -3.71 eV/atom.